Record 1
{"formula": "NbAu3O", "functional": "meta-GGA SCAN", "state": "PBEsol geometry", "cell": [[4.3773, 0.0000, 0.0000], [0.0000, 4.3773, 0.0000], [0.0000, 0.0000, 4.3773]], "species": ["Nb", "Au", "Au", "Au", "O"], "fractional_positions": [[0.0000, 0.0000, 0.0000], [0.0000, 0.5000, 0.5000], [0.5000, 0.0000, 0.5000], [0.5000, 0.5000, 0.0000], [0.5000, 0.5000, 0.5000]], "total_magnetization_mub_per_fu": 3.1, "e_form_raw_ev_per_atom": 0.652}

Record 2
{"formula": "Nb3AuO", "functional": "meta-GGA SCAN", "state": "PBEsol geometry", "cell": [[4.8973, 0.0000, 0.0000], [0.0000, 4.8973, 0.0000], [0.0000, 0.0000, 4.8973]], "species": ["Nb", "Nb", "Nb", "Au", "O"], "fractional_positions": [[0.0000, 0.0000, 0.5000], [0.0000, 0.5000, 0.0000], [0.5000, 0.0000, 0.0000], [0.0000, 0.0000, 0.0000], [0.5000, 0.5000, 0.5000]], "total_magnetization_mub_per_fu": 0.0, "e_form_raw_ev_per_atom": 1.914}

Repeat the second record exactly.
{"formula": "Nb3AuO", "functional": "meta-GGA SCAN", "state": "PBEsol geometry", "cell": [[4.8973, 0.0000, 0.0000], [0.0000, 4.8973, 0.0000], [0.0000, 0.0000, 4.8973]], "species": ["Nb", "Nb", "Nb", "Au", "O"], "fractional_positions": [[0.0000, 0.0000, 0.5000], [0.0000, 0.5000, 0.0000], [0.5000, 0.0000, 0.0000], [0.0000, 0.0000, 0.0000], [0.5000, 0.5000, 0.5000]], "total_magnetization_mub_per_fu": 0.0, "e_form_raw_ev_per_atom": 1.914}